Record 1
Entry from the Alexandria database: a geometry-optimized Zr2UFe9 structure (GGA-PBE).

a = 4.9125 Å, b = 4.9125 Å, c = 16.2406 Å
α = 90.00°, β = 90.00°, γ = 120.00°
Space group P6_3/mmc (No. 194)
Unique sites:
Zr  0.3333  0.6667  0.0370 (multiplicity 4)
U  0.3333  0.6667  0.2500 (multiplicity 2)
Fe  0.0000  0.0000  0.0000 (multiplicity 2)
Fe  0.0000  0.0000  0.2500 (multiplicity 2)
Fe  0.1677  0.3355  0.6229 (multiplicity 12)
Fe  0.3333  0.6667  0.7500 (multiplicity 2)

Energy of formation (eV per atom): -0.149
Crystal system: hexagonal
Calculated volume (Å³ per cell): 339
Electronic total energy (eV per cell): -212.67

Record 2
Entry from the Alexandria database: a geometry-optimized CaMo6S8 structure (GGA-PBE).

a = 9.2446 Å, b = 9.2446 Å, c = 11.4080 Å
α = 90.00°, β = 90.00°, γ = 120.00°
Space group R-3 (No. 148, hexagonal axes)
Unique sites:
Ca  0.0000  0.0000  0.0000 (multiplicity 3)
Mo  0.0167  0.1758  0.4002 (multiplicity 18)
S  0.0000  0.0000  0.2387 (multiplicity 6)
S  0.0071  0.3780  0.2501 (multiplicity 18)

Formation energy without anion corrections (eV per atom): -0.884
Energy relative to the lowest polymorph listed for this composition (meV per atom): 0
Crystal system: trigonal
Calculated volume (Å³ per cell): 844
Electronic total energy (eV per cell): -339.79

Record 3
Entry from the Alexandria database: a geometry-optimized NiB2IrSe structure (GGA-PBE).

a = 4.010 Å, b = 4.010 Å, c = 4.286 Å
α = 90.00°, β = 90.00°, γ = 90.00°
Space group P4/mmm (No. 123)
Unique sites:
Ni  0.000  0.000  0.000 (multiplicity 1)
B  0.000  0.500  0.500 (multiplicity 2)
Ir  0.500  0.500  0.000 (multiplicity 1)
Se  0.000  0.000  0.500 (multiplicity 1)

Formation energy without anion corrections (eV per atom): 1.795
Crystal system: tetragonal
Calculated volume (Å³ per cell): 69
Electronic total energy (eV per cell): -22.50

Record 4
Entry from the Alexandria database: a geometry-optimized Nd4SiHI2 structure (GGA-PBE).

a = 7.109 Å, b = 4.130 Å, c = 8.086 Å
α = 90.00°, β = 106.16°, γ = 90.00°
Space group P2/m (No. 10)
Unique sites:
Nd  0.223  0.000  0.196 (multiplicity 2)
Nd  0.246  0.500  0.817 (multiplicity 2)
Si  0.500  0.000  0.000 (multiplicity 1)
H  0.000  0.500  0.000 (multiplicity 1)
I  0.000  0.000  0.500 (multiplicity 1)
I  0.500  0.500  0.500 (multiplicity 1)

Crystal system: monoclinic
Calculated volume (Å³ per cell): 228
Electronic total energy (eV per cell): -36.67

Record 5
Entry from the Alexandria database: a geometry-optimized SiBiIr3 structure (GGA-PBE).

a = 4.541 Å, b = 4.541 Å, c = 4.541 Å
α = 90.00°, β = 90.00°, γ = 90.00°
Space group Pm-3m (No. 221)
Unique sites:
Si  0.000  0.000  0.000 (multiplicity 1)
Bi  0.500  0.500  0.500 (multiplicity 1)
Ir  0.000  0.000  0.500 (multiplicity 3)

Formation energy without anion corrections (eV per atom): 0.477
Energy relative to the lowest polymorph listed for this composition (meV per atom): 0
Crystal system: cubic
Calculated volume (Å³ per cell): 94
Electronic total energy (eV per cell): -33.50

Record 6
Entry from the Alexandria database: a geometry-optimized TmUInO6 structure (GGA-PBE).

a = 5.5391 Å, b = 5.5391 Å, c = 9.6638 Å
α = 90.00°, β = 90.00°, γ = 120.00°
Space group P-31c (No. 163)
Unique sites:
Tm  0.0000  0.0000  0.0000 (multiplicity 2)
U  0.3333  0.6667  0.2500 (multiplicity 2)
In  0.3333  0.6667  0.7500 (multiplicity 2)
O  0.0143  0.3465  0.1323 (multiplicity 12)

Formation energy without anion corrections (eV per atom): -2.779
Crystal system: trigonal
Calculated volume (Å³ per cell): 257
Electronic total energy (eV per cell): -146.52

Record 7
Entry from the Alexandria database: a geometry-optimized BaTl2In structure (GGA-PBE).

a = 8.978 Å, b = 5.166 Å, c = 6.745 Å
α = 90.00°, β = 116.31°, γ = 90.00°
Space group Cm (No. 8)
Unique sites:
Ba  0.000  0.000  0.000 (multiplicity 2)
Tl  0.010  0.500  0.531 (multiplicity 2)
Tl  0.274  0.500  0.321 (multiplicity 2)
In  0.223  0.000  0.668 (multiplicity 2)

Energy of formation (eV per atom): -0.268
Crystal system: monoclinic
Calculated volume (Å³ per cell): 280
Electronic total energy (eV per cell): -20.93

Record 8
Entry from the Alexandria database: a geometry-optimized Li3AcDy2Se6 structure (GGA-PBE).

a = 7.273 Å, b = 12.629 Å, c = 6.950 Å
α = 90.00°, β = 110.09°, γ = 90.00°
Space group C2/m (No. 12)
Unique sites:
Li  0.000  0.000  0.000 (multiplicity 2)
Li  0.000  0.325  0.000 (multiplicity 4)
Ac  0.000  0.500  0.500 (multiplicity 2)
Dy  0.000  0.166  0.500 (multiplicity 4)
Se  0.232  0.000  0.759 (multiplicity 4)
Se  0.240  0.177  0.245 (multiplicity 8)

Formation energy without anion corrections (eV per atom): -1.682
Crystal system: monoclinic
Calculated volume (Å³ per cell): 600
Electronic total energy (eV per cell): -120.30

Record 9
Entry from the Alexandria database: a geometry-optimized LiPr2Ti structure (GGA-PBE).

a = 3.2891 Å, b = 3.2891 Å, c = 35.6180 Å
α = 90.00°, β = 90.00°, γ = 120.00°
Space group R-3m (No. 166, hexagonal axes)
Unique sites:
Li  0.0000  0.0000  0.0000 (multiplicity 3)
Pr  0.0000  0.0000  0.4176 (multiplicity 6)
Ti  0.0000  0.0000  0.5000 (multiplicity 3)

Energy of formation (eV per atom): 0.479
Energy relative to the lowest polymorph listed for this composition (meV per atom): 280
Crystal system: trigonal
Calculated volume (Å³ per cell): 334
Electronic total energy (eV per cell): -52.35

Record 10
Entry from the Alexandria database: a geometry-optimized TbPm2Tm12 structure (GGA-PBE).

a = 7.082 Å, b = 11.094 Å, c = 23.886 Å
α = 90.00°, β = 94.28°, γ = 90.00°
Space group C2/m (No. 12)
Unique sites:
Tb  0.250  0.000  0.000 (multiplicity 4)
Pm  0.069  0.000  0.280 (multiplicity 4)
Pm  0.069  0.500  0.281 (multiplicity 4)
Tm  0.017  0.251  0.067 (multiplicity 8)
Tm  0.034  0.000  0.135 (multiplicity 4)
Tm  0.034  0.500  0.136 (multiplicity 4)
Tm  0.111  0.251  0.445 (multiplicity 8)
Tm  0.142  0.000  0.572 (multiplicity 4)
Tm  0.144  0.500  0.571 (multiplicity 4)
Tm  0.168  0.250  0.670 (multiplicity 8)
Tm  0.202  0.250  0.808 (multiplicity 8)

Energy of formation (eV per atom): 0.108
Crystal system: monoclinic
Calculated volume (Å³ per cell): 1871
Electronic total energy (eV per cell): -264.68

Record 11
Entry from the Alexandria database: a geometry-optimized La2BiPt2 structure (GGA-PBE).

a = 4.061 Å, b = 4.061 Å, c = 16.658 Å
α = 90.00°, β = 90.00°, γ = 90.00°
Space group I4/mmm (No. 139)
Unique sites:
La  0.000  0.000  0.120 (multiplicity 4)
Bi  0.000  0.000  0.500 (multiplicity 2)
Pt  0.000  0.500  0.250 (multiplicity 4)

Energy of formation (eV per atom): -0.926
Energy relative to the lowest polymorph listed for this composition (meV per atom): 183
Crystal system: tetragonal
Calculated volume (Å³ per cell): 275
Electronic total energy (eV per cell): -60.89

Record 12
Entry from the Alexandria database: a geometry-optimized ReSb4Cl structure (GGA-PBE).

a = 8.707 Å, b = 8.707 Å, c = 8.707 Å
α = 90.00°, β = 90.00°, γ = 90.00°
Space group F-43m (No. 216)
Unique sites:
Re  0.000  0.000  0.000 (multiplicity 4)
Sb  0.122  0.122  0.622 (multiplicity 16)
Cl  0.250  0.250  0.250 (multiplicity 4)

Formation energy without anion corrections (eV per atom): 1.012
Crystal system: cubic
Calculated volume (Å³ per cell): 660
Electronic total energy (eV per cell): -98.86

Record 13
Entry from the Alexandria database: a geometry-optimized Ca2CdAs2 structure (GGA-PBE).

a = 7.249 Å, b = 11.903 Å, c = 6.123 Å
α = 90.00°, β = 90.00°, γ = 90.00°
Space group Ibam (No. 72)
Unique sites:
Ca  0.163  0.136  0.000 (multiplicity 8)
Cd  0.000  0.500  0.250 (multiplicity 4)
As  0.250  0.122  0.500 (multiplicity 8)

Energy of formation (eV per atom): -0.871
Crystal system: orthorhombic
Calculated volume (Å³ per cell): 528
Electronic total energy (eV per cell): -74.30

Record 14
Entry from the Alexandria database: a geometry-optimized MgMo2As structure (GGA-PBE).

a = 3.180 Å, b = 3.180 Å, c = 6.671 Å
α = 90.00°, β = 90.00°, γ = 90.00°
Space group P4/mmm (No. 123)
Unique sites:
Mg  0.000  0.000  0.000 (multiplicity 1)
Mo  0.500  0.500  0.299 (multiplicity 2)
As  0.000  0.000  0.500 (multiplicity 1)

Energy of formation (eV per atom): 0.232
Energy relative to the lowest polymorph listed for this composition (meV per atom): 227
Crystal system: tetragonal
Calculated volume (Å³ per cell): 67
Electronic total energy (eV per cell): -26.98

Record 15
Entry from the Alexandria database: a geometry-optimized CaSi3S structure (GGA-PBE).

a = 4.738 Å, b = 4.738 Å, c = 4.738 Å
α = 90.00°, β = 90.00°, γ = 90.00°
Space group Pm-3m (No. 221)
Unique sites:
Ca  0.000  0.000  0.000 (multiplicity 1)
Si  0.000  0.500  0.500 (multiplicity 3)
S  0.500  0.500  0.500 (multiplicity 1)

Formation energy without anion corrections (eV per atom): 0.386
Energy relative to the lowest polymorph listed for this composition (meV per atom): 0
Crystal system: cubic
Calculated volume (Å³ per cell): 106
Electronic total energy (eV per cell): -20.47

Record 16
Entry from the Alexandria database: a geometry-optimized Ti2MoS structure (GGA-PBE).

a = 7.430 Å, b = 7.430 Å, c = 4.843 Å
α = 90.00°, β = 90.00°, γ = 90.00°
Space group I-42d (No. 122)
Unique sites:
Ti  0.164  0.250  0.125 (multiplicity 8)
Mo  0.000  0.000  0.500 (multiplicity 4)
S  0.000  0.000  0.000 (multiplicity 4)

Formation energy without anion corrections (eV per atom): -0.133
Crystal system: tetragonal
Calculated volume (Å³ per cell): 267
Electronic total energy (eV per cell): -125.12

Record 17
Entry from the Alexandria database: a geometry-optimized InPbBr4 structure (GGA-PBE).

a = 8.727 Å, b = 17.592 Å, c = 7.214 Å
α = 90.00°, β = 124.84°, γ = 90.00°
Space group C2/c (No. 15)
Unique sites:
In  0.000  0.161  0.250 (multiplicity 4)
Pb  0.000  0.332  0.750 (multiplicity 4)
Br  0.243  0.060  0.246 (multiplicity 8)
Br  0.245  0.301  0.263 (multiplicity 8)

Formation energy without anion corrections (eV per atom): -0.735
Energy relative to the lowest polymorph listed for this composition (meV per atom): 0
Crystal system: monoclinic
Calculated volume (Å³ per cell): 909
Electronic total energy (eV per cell): -70.20

Record 18
Entry from the Alexandria database: a geometry-optimized Si2NiW structure (GGA-PBE).

a = 2.666 Å, b = 2.666 Å, c = 7.669 Å
α = 90.00°, β = 90.00°, γ = 90.00°
Space group P4mm (No. 99)
Unique sites:
Si  0.000  0.000  0.000 (multiplicity 1)
Si  0.500  0.500  0.289 (multiplicity 1)
Ni  0.500  0.500  0.800 (multiplicity 1)
W  0.000  0.000  0.550 (multiplicity 1)

Formation energy without anion corrections (eV per atom): 0.094
Energy relative to the lowest polymorph listed for this composition (meV per atom): 300
Crystal system: tetragonal
Calculated volume (Å³ per cell): 55
Electronic total energy (eV per cell): -29.20

Record 19
Entry from the Alexandria database: a geometry-optimized NaSrHg2O structure (GGA-PBE).

a = 5.524 Å, b = 5.524 Å, c = 4.349 Å
α = 90.00°, β = 90.00°, γ = 90.00°
Space group P4/mmm (No. 123)
Unique sites:
Na  0.000  0.000  0.000 (multiplicity 1)
Sr  0.500  0.500  0.500 (multiplicity 1)
Hg  0.000  0.500  0.000 (multiplicity 2)
O  0.000  0.000  0.500 (multiplicity 1)

Formation energy without anion corrections (eV per atom): -0.384
Crystal system: tetragonal
Calculated volume (Å³ per cell): 133
Electronic total energy (eV per cell): -10.48

Record 20
Entry from the Alexandria database: a geometry-optimized Ca2AcGa6 structure (GGA-PBE).

a = 3.990 Å, b = 8.933 Å, c = 12.598 Å
α = 90.00°, β = 90.00°, γ = 90.00°
Space group Immm (No. 71)
Unique sites:
Ca  0.000  0.000  0.143 (multiplicity 4)
Ac  0.000  0.500  0.000 (multiplicity 2)
Ga  0.000  0.216  0.317 (multiplicity 8)
Ga  0.000  0.331  0.500 (multiplicity 4)

Energy of formation (eV per atom): -0.359
Energy relative to the lowest polymorph listed for this composition (meV per atom): 169
Crystal system: orthorhombic
Calculated volume (Å³ per cell): 449
Electronic total energy (eV per cell): -59.00

Record 21
Entry from the Alexandria database: a geometry-optimized Ce7SbRu2 structure (GGA-PBE).

a = 9.412 Å, b = 12.791 Å, c = 5.031 Å
α = 90.00°, β = 90.00°, γ = 90.00°
Space group Cmmm (No. 65)
Unique sites:
Ce  0.000  0.000  0.000 (multiplicity 2)
Ce  0.000  0.229  0.500 (multiplicity 4)
Ce  0.188  0.391  0.000 (multiplicity 8)
Sb  0.000  0.500  0.500 (multiplicity 2)
Ru  0.000  0.196  0.000 (multiplicity 4)

Formation energy without anion corrections (eV per atom): -0.190
Crystal system: orthorhombic
Calculated volume (Å³ per cell): 606
Electronic total energy (eV per cell): -132.22

Record 22
Entry from the Alexandria database: a geometry-optimized AlCdW2 structure (GGA-PBE).

a = 2.8516 Å, b = 2.8516 Å, c = 29.4714 Å
α = 90.00°, β = 90.00°, γ = 120.00°
Space group R3m (No. 160, hexagonal axes)
Unique sites:
Al  0.0000  0.0000  0.0000 (multiplicity 3)
Cd  0.0000  0.0000  0.7565 (multiplicity 3)
W  0.0000  0.0000  0.2582 (multiplicity 3)
W  0.0000  0.0000  0.5109 (multiplicity 3)

Energy of formation (eV per atom): 0.351
Energy relative to the lowest polymorph listed for this composition (meV per atom): 100
Crystal system: trigonal
Calculated volume (Å³ per cell): 208
Electronic total energy (eV per cell): -87.48

Record 23
Entry from the Alexandria database: a geometry-optimized CsTiCdCl6 structure (GGA-PBE).

a = 6.773 Å, b = 11.712 Å, c = 7.659 Å
α = 90.00°, β = 90.22°, γ = 90.00°
Space group C2 (No. 5)
Unique sites:
Cs  0.000  0.000  0.000 (multiplicity 2)
Ti  0.000  0.667  0.500 (multiplicity 2)
Cd  0.000  0.333  0.500 (multiplicity 2)
Cl  0.118  0.512  0.688 (multiplicity 4)
Cl  0.171  0.803  0.687 (multiplicity 4)
Cl  0.208  0.182  0.686 (multiplicity 4)

Formation energy without anion corrections (eV per atom): -1.532
Crystal system: monoclinic
Calculated volume (Å³ per cell): 608
Electronic total energy (eV per cell): -69.06